VASP calculation (PBE with a Hubbard U) on a geometry-optimized SrFe3C4O12 structure.

Summary:
The value obtained for the total energy is -7.402 eV/atom. As for the size of the total moment: 12.0 μB per cell.

Cell: 6.2822 6.2822 6.2822 Å, 102.35 102.35 102.35°
Closest atoms and distances in Å follow each position.
Fractional positions:
C 0.5000 0.9568 0.0432  3 O 1.29-1.31
Fe 0.4595 0.0000 0.5405  6 O 2.11-2.21
O 0.1920 0.3871 0.9785  1 C 1.29
O 0.6129 0.8080 0.0215  1 C 1.29
O 0.9785 0.1920 0.3871  1 C 1.29
O 0.8080 0.0215 0.6129  1 C 1.29
C 0.5000 0.5000 0.5000  3 O 1.30
O 0.0215 0.6129 0.8080  1 C 1.29
O 0.9095 0.5000 0.0905  1 C 1.31
C 0.0432 0.5000 0.9568  3 O 1.29-1.31
O 0.5000 0.0905 0.9095  1 C 1.31
Fe 0.0000 0.5405 0.4595  6 O 2.11-2.21
C 0.9568 0.0432 0.5000  3 O 1.29-1.31
Fe 0.5405 0.4595 0.0000  6 O 2.11-2.21
O 0.5000 0.3670 0.6330  1 C 1.30
O 0.3670 0.6330 0.5000  1 C 1.30
O 0.3871 0.9785 0.1920  1 C 1.29
O 0.0905 0.9095 0.5000  1 C 1.31
Sr 0.0000 0.0000 0.0000  6 O 2.52
O 0.6330 0.5000 0.3670  1 C 1.30